A plane-wave DFT calculation with GGA+U was carried out for Tb2HoCo2B2O3 after structural relaxation.

It has space group I4/mmm (No. 139), with a = 3.4088 Å, b = 3.4088 Å, c = 21.3024 Å, α = 90.00°, β = 90.00° and γ = 90.00°. Symmetry generates all atoms from Tb at (0.0000, 0.0000, 0.1366), Ho at (0.0000, 0.0000, 0.5000), Co at (0.0000, 0.5000, 0.2500), B at (0.0000, 0.0000, 0.2902), O at (0.0000, 0.0000, 0.0000) and O at (0.0000, 0.0000, 0.3977).

The final energy comes out at -6.887 eV per atom.